First-principles (PBE) data for a relaxed Mo2IrPd5 crystal, as listed in OQMD.

- Energy relative to the elements: -0.059 eV per atom

```
8
Lattice="4.524 0.000 0.000 0.000 2.739 4.826 0.000 -2.739 4.826" Properties=species:S:1:pos:R:3 pbc="T T T"
Mo 0.000 0.000 0.000
Mo 2.262 0.000 3.329
Ir 0.000 0.000 4.767
Pd 0.000 -1.361 2.422
Pd 0.000 1.361 2.422
Pd 2.262 -1.400 5.694
Pd 2.262 0.000 8.141
Pd 2.262 1.400 5.694
```

---

First-principles (PBE) data for a relaxed LiTbPdS3 crystal, as listed in OQMD.

- Final energy: -0.1882 Ha/atom

```
12
Lattice="1.899 -6.382 0.000 1.899 6.382 0.000 0.000 0.000 10.190" Properties=species:S:1:pos:R:3 pbc="T T T"
Li 1.899 3.625 7.642
Li 1.899 -3.625 2.547
Tb 0.000 0.000 0.000
Tb 0.000 0.000 5.095
Pd 1.899 0.086 2.547
Pd 1.899 -0.086 7.642
S 1.899 5.034 2.547
S 1.899 1.799 0.860
S 1.899 1.799 4.234
S 1.899 -1.799 5.955
S 1.899 -1.799 9.329
S 1.899 -5.034 7.642
```

---

| no. | spin magnetization (μB per formula unit) |
| --- | --- |
| 1 | 0.0 |
| 2 | 0.0 |